Computed, not measured: an optimized crystal structure of AcEuAg2 at the PBE-GGA level of DFT.

## Properties
* total moment: 7.10 μB/f.u.
* raw total energy: -21.2 eV/f.u.
* SG: No. 225

Cell: 5.502 5.502 5.502 Å, 60.00 60.00 60.00°
Fractional positions:
Eu1 0.000 0.000 0.000
Ac1 0.500 0.500 0.500
Ag1 0.250 0.250 0.250
Ag2 0.750 0.750 0.750

Computed, not measured: an optimized crystal structure of AcEuAg2 at the PBE-GGA level of DFT.

## Properties
* total moment: 7.18 μB/f.u.
* raw total energy: -21.2 eV/f.u.
* SG: No. 123

Cell: 3.875 5.522 5.522 Å, 90.00 90.00 90.00°
Fractional positions:
Eu1 0.500 0.500 0.500
Ac1 0.500 0.000 0.000
Ag1 0.000 0.000 0.500
Ag2 0.000 0.500 0.000

Computed, not measured: an optimized crystal structure of AcEuGaAg at the PBE-GGA level of DFT.

## Properties
* total moment: 6.99 μB/f.u.
* raw total energy: -21.8 eV/f.u.
* SG: No. 216

Cell: 5.477 5.477 5.477 Å, 60.00 60.00 60.00°
Fractional positions:
Eu1 0.000 0.000 0.000
Ac1 0.500 0.500 0.500
Ga1 0.750 0.750 0.750
Ag1 0.250 0.250 0.250

Computed, not measured: an optimized crystal structure of AcEuAgHg at the PBE-GGA level of DFT.

## Properties
* total moment: 7.30 μB/f.u.
* raw total energy: -19.1 eV/f.u.
* SG: No. 216

Cell: 5.567 5.567 5.567 Å, 60.00 60.00 60.00°
Fractional positions:
Eu1 0.000 0.000 0.000
Ac1 0.500 0.500 0.500
Hg1 0.750 0.750 0.750
Ag1 0.250 0.250 0.250

Computed, not measured: an optimized crystal structure of AcEuHoAg at the PBE-GGA level of DFT.

## Properties
* total moment: 8.26 μB/f.u.
* raw total energy: -21.1 eV/f.u.
* SG: No. 216

Cell: 5.633 5.633 5.633 Å, 60.00 60.00 60.00°
Fractional positions:
Eu1 0.000 0.000 0.000
Ac1 0.750 0.750 0.750
Ho1 0.500 0.500 0.500
Ag1 0.250 0.250 0.250

Computed, not measured: an optimized crystal structure of AcEuAgIr at the PBE-GGA level of DFT.

## Properties
* total moment: 7.06 μB/f.u.
* raw total energy: -27.5 eV/f.u.
* SG: No. 216

Cell: 5.262 5.262 5.262 Å, 60.00 60.00 60.00°
Fractional positions:
Eu1 0.750 0.750 0.750
Ac1 0.250 0.250 0.250
Ir1 0.000 0.000 0.000
Ag1 0.500 0.500 0.500

Which formula does entry 4 have? AcEuAgHg